Entry 1:
Below is PmTlGaHg after structural relaxation, with properties calculated at the PBE-GGA level.

DOS(E_F): 4.54 states/eV per cell
formation enthalpy at 0 K: -0.233 eV/atom

Cell lengths 5.2417, 5.2417, 5.2417 Å; angles 60.00, 60.00, 60.00 degrees
With the nearest neighbours (Å) after each atom.
Fractional positions:
1 Pm 0.0000 0.0000 0.0000  4 Hg 3.21, 4 Ga 3.21
2 Tl 0.5000 0.5000 0.5000  4 Hg 3.21, 4 Ga 3.21
3 Ga 0.2500 0.2500 0.2500  4 Tl 3.21, 4 Pm 3.21
4 Hg 0.7500 0.7500 0.7500  4 Tl 3.21, 4 Pm 3.21



Entry 2:
Below is Pm4TlGa2Hg after structural relaxation, with properties calculated at the PBE-GGA level.

DOS(E_F): 7.94 states/eV per cell
formation enthalpy at 0 K: -0.476 eV/atom

Cell lengths 9.2411, 9.2411, 9.2411 Å; angles 33.52, 33.52, 33.52 degrees
With the nearest neighbours (Å) after each atom.
Fractional positions:
1 Pm 0.1232 0.1232 0.1232  1 Hg 3.22, 4 Ga 3.25-3.33, 3 Tl 3.28
2 Pm 0.3733 0.3733 0.3733  4 Ga 3.20-3.27, 3 Hg 3.25, 1 Tl 3.31
3 Pm 0.6267 0.6267 0.6267  4 Ga 3.20-3.27, 3 Hg 3.25, 1 Tl 3.31
4 Pm 0.8768 0.8768 0.8768  1 Hg 3.22, 4 Ga 3.25-3.33, 3 Tl 3.28
5 Tl 0.5000 0.5000 0.5000  8 Pm 3.28-3.31
6 Ga 0.2507 0.2507 0.2507  8 Pm 3.20-3.33
7 Ga 0.7493 0.7493 0.7493  8 Pm 3.20-3.33
8 Hg 0.0000 0.0000 0.0000  8 Pm 3.22-3.25



Entry 3:
Below is Pm4Tl2GaHg after structural relaxation, with properties calculated at the PBE-GGA level.

DOS(E_F): 9.35 states/eV per cell
formation enthalpy at 0 K: -0.438 eV/atom

Cell lengths 9.3248, 9.3248, 9.3248 Å; angles 33.71, 33.71, 33.71 degrees
With the nearest neighbours (Å) after each atom.
Fractional positions:
1 Pm 0.1209 0.1209 0.1209  1 Ga 3.19, 4 Tl 3.24-3.29, 3 Hg 3.35
2 Pm 0.3716 0.3716 0.3716  3 Ga 3.28, 4 Tl 3.32-3.38, 1 Hg 3.38
3 Pm 0.6284 0.6284 0.6284  3 Ga 3.28, 4 Tl 3.32-3.38, 1 Hg 3.38
4 Pm 0.8791 0.8791 0.8791  1 Ga 3.19, 4 Tl 3.24-3.29, 3 Hg 3.35
5 Tl 0.2457 0.2457 0.2457  8 Pm 3.24-3.38
6 Tl 0.7543 0.7543 0.7543  8 Pm 3.24-3.38
7 Ga 0.0000 0.0000 0.0000  8 Pm 3.19-3.28
8 Hg 0.5000 0.5000 0.5000  8 Pm 3.35-3.38